A plane-wave DFT calculation with PBE+U was carried out for a geometry-optimized Na3Dy2MnO6 structure.

Lattice parameters (Å, degrees): 5.7626 5.7626 5.8450 98.95 98.95 120.68
Closest atoms and distances in Å follow each position.
Sites, in units of the cell vectors:
O (0.6043, 0.9283, 0.7827)  1 Mn 2.23, 2 Dy 2.27, 2 Na 2.43-2.47
O (0.0717, 0.3957, 0.2173)  1 Mn 2.23, 2 Dy 2.27, 2 Na 2.43-2.47
O (0.9283, 0.6043, 0.7827)  1 Mn 2.23, 2 Dy 2.27, 2 Na 2.43-2.47
O (0.3957, 0.0717, 0.2173)  1 Mn 2.23, 2 Dy 2.27, 2 Na 2.43-2.47
O (0.2325, 0.2325, 0.8076)  1 Mn 1.99
O (0.7675, 0.7675, 0.1924)  1 Mn 1.99
Dy (0.3303, 0.6697, 0.0000)  6 O 2.27-2.32
Dy (0.6697, 0.3303, 0.0000)  6 O 2.27-2.32
Na (0.1604, 0.8396, 0.5000)  6 O 2.43-2.57
Na (0.5000, 0.5000, 0.5000)  6 O 2.47-2.70
Na (0.8396, 0.1604, 0.5000)  6 O 2.43-2.57
Mn (0.0000, 0.0000, 0.0000)  6 O 1.99-2.23

Calculated values
- electronic total energy (eV per formula unit) = -78.8